No. 1
A plane-wave DFT calculation with PBE-GGA was carried out for crystalline Cs2CdPbI6 at its relaxed geometry.

The total moment is 0.0 μB per formula unit. As for the energy relative to the elements, uncorrected: -0.975 eV per atom.

It has space group R3 (No. 146, hexagonal axes), with a = 8.8124 Å, b = 8.8124 Å, c = 20.9738 Å, α = 90.00°, β = 90.00° and γ = 120.00°. Symmetry generates all atoms from Cs at (0.0000, 0.0000, 0.0000), Cs at (0.0000, 0.0000, 0.4970), Cd at (0.0000, 0.0000, 0.2476), Pb at (0.0000, 0.0000, 0.7476), I at (0.0121, 0.4499, 0.9956) and I at (0.1162, 0.7703, 0.8323).


No. 2
A plane-wave DFT calculation with PBE-GGA was carried out for crystalline LaScPt2 at its relaxed geometry.

Its formation energy is -0.88 eV per atom. The total moment is 0.0 μB per formula unit.

It has space group I-4m2 (No. 119), with a = 4.139 Å, b = 4.139 Å, c = 9.763 Å, α = 90.00°, β = 90.00° and γ = 90.00°. Symmetry generates all atoms from La at (0.000, 0.000, 0.000), Sc at (0.000, 0.500, 0.250), Pt at (0.000, 0.000, 0.500) and Pt at (0.000, 0.500, 0.750).